[1]
Below is a relaxed Sr5Cd3 crystal, with properties calculated at the PBEsol level.

Cell: 10.092 10.092 10.092 Å, 129.53 129.53 74.15°
Atoms (fractional coordinates):
1 Sr 0.000 0.000 0.000
2 Sr 0.021 0.521 0.837
3 Sr 0.184 0.021 0.500
4 Sr 0.316 0.816 0.837
5 Sr 0.479 0.316 0.500
6 Sr 0.500 0.500 0.000
7 Sr 0.521 0.684 0.500
8 Sr 0.684 0.184 0.163
9 Sr 0.816 0.979 0.500
10 Sr 0.979 0.479 0.163
11 Cd 0.122 0.378 0.500
12 Cd 0.250 0.250 0.000
13 Cd 0.378 0.878 0.256
14 Cd 0.622 0.122 0.744
15 Cd 0.750 0.750 0.000
16 Cd 0.878 0.622 0.500

The total DFT energy (no corrections) is -1.83 eV per atom. Its space-group type is I4/mcm. The energy above the most stable polymorph in this dataset comes out at 0 meV/atom. For the volume, the calculation gives 596 Å³/cell. For the formation energy, the calculation gives -0.2347 eV/atom.

=====

[2]
Below is a relaxed InTcP2Cl crystal, with properties calculated at the PBEsol level.

Cell: 4.525 4.525 5.129 Å, 90.00 90.00 90.00°
Atoms (fractional coordinates):
1 In 0.000 0.000 0.000
2 Tc 0.500 0.500 0.500
3 P 0.000 0.500 0.500
4 P 0.500 0.000 0.500
5 Cl 0.500 0.500 0.000

The total DFT energy (no corrections) is -5.45 eV per atom. The calculation puts the formation energy without anion corrections at 0.1181 eV/atom. Its space-group type is P4/mmm. For the volume, the calculation gives 105 Å³/cell.